1.
Computed, not measured: a relaxed CaPaPbO6 crystal at the PBE-GGA level of DFT.

Summary:
Space group = P312
N(E_F) = 7.91 states/eV per cell
Energy = -7.21 eV per atom
Formation energy from raw total energies = -2212 meV/atom

Cell: 4.804 5.712 5.712 Å, 120.00 90.00 90.00°
Fractional coordinates of all 9 atoms:
Pb1 0.500 0.000 0.000
O1 0.748 0.025 0.338
O2 0.252 0.662 0.975
O3 0.748 0.314 0.975
O4 0.252 0.314 0.338
O5 0.252 0.025 0.686
O6 0.748 0.662 0.686
Ca1 0.500 0.667 0.333
Pa1 0.000 0.333 0.667

2.
Computed, not measured: a relaxed Cs2TcO3 crystal at the PBE-GGA level of DFT.

Summary:
Space group = Cmcm
Distance to the lowest polymorph of the same formula = 30 meV/atom
N(E_F) = 5.98 states/eV per cell
Energy = -5.82 eV per atom
Formation energy from raw total energies = -1328 meV/atom

Cell: 6.015 6.682 6.682 Å, 109.00 90.00 90.00°
Fractional coordinates of all 12 atoms:
Cs1 0.250 0.518 0.180
Cs2 0.250 0.180 0.518
Cs3 0.750 0.820 0.482
Cs4 0.750 0.482 0.820
O1 0.000 0.888 0.112
O2 0.000 0.112 0.888
O3 0.750 0.319 0.319
O4 0.500 0.888 0.112
O5 0.500 0.112 0.888
O6 0.250 0.681 0.681
Tc1 0.250 0.920 0.920
Tc2 0.750 0.080 0.080

3.
Computed, not measured: a relaxed KInHg2I4 crystal at the PBE-GGA level of DFT.

Summary:
Space group = P1
N(E_F) = 0.00 states/eV per cell
Energy = -1.94 eV per atom
Formation energy from raw total energies = -610 meV/atom

Cell: 8.964 8.281 10.493 Å, 135.77 130.32 74.65°
Fractional coordinates of all 8 atoms:
Hg1 0.901 0.053 0.260
Hg2 0.367 0.592 0.732
I1 0.437 0.943 0.313
I2 0.754 0.406 0.080
I3 0.742 0.638 0.616
I4 0.147 0.178 0.849
In1 0.766 0.793 0.466
K1 0.273 0.784 0.459

4.
Computed, not measured: a relaxed TaTi4Sn crystal at the PBE-GGA level of DFT.

Summary:
Space group = Cmc2_1
Distance to the lowest polymorph of the same formula = 322 meV/atom
Energy relative to the elements = 0.25 eV per atom
N(E_F) = 13.97 states/eV per cell
Energy = -7.65 eV per atom

Cell: 4.629 5.585 9.524 Å, 90.00 104.06 90.00°
Fractional coordinates of all 12 atoms:
Ti1 0.859 0.240 0.718
Ti2 0.305 0.034 0.610
Ti3 0.141 0.740 0.282
Ti4 0.447 0.953 0.894
Ti5 0.721 0.024 0.442
Ti6 0.279 0.524 0.558
Ti7 0.695 0.534 0.390
Ti8 0.553 0.453 0.106
Ta1 0.586 0.943 0.172
Ta2 0.414 0.443 0.828
Sn1 0.139 0.240 0.277
Sn2 0.861 0.740 0.723

5.
Computed, not measured: a relaxed RbMgCoCl6 crystal at the PBE-GGA level of DFT.

Summary:
Space group = P312
Energy = -3.61 eV per atom
Formation energy from raw total energies = -1304 meV/atom

Cell: 6.270 6.270 7.407 Å, 90.00 90.00 60.00°
Fractional coordinates of all 9 atoms:
Cl1 0.028 0.355 0.321
Cl2 0.355 0.617 0.321
Cl3 0.617 0.355 0.679
Cl4 0.028 0.617 0.679
Cl5 0.355 0.028 0.679
Cl6 0.617 0.028 0.321
Co1 0.333 0.333 0.500
Rb1 0.000 0.000 0.000
Mg1 0.667 0.667 0.500

6.
Computed, not measured: a relaxed Li2ZnSb crystal at the PBE-GGA level of DFT.

Summary:
Space group = F-43m
N(E_F) = 2.98 states/eV per cell
Energy = -2.56 eV per atom
Formation energy from raw total energies = -251 meV/atom

Cell: 4.760 4.760 4.760 Å, 60.00 60.00 60.00°
Fractional coordinates of all 4 atoms:
Sb1 0.000 0.000 0.000
Li1 0.750 0.750 0.750
Li2 0.500 0.500 0.500
Zn1 0.250 0.250 0.250